[1]
Here is an optimized crystal structure of NaEuZnCd from the Alexandria database. Energies are from PBE.

Formation energy in eV per atom: -0.11
Spin magnetization in μB/f.u.: 7.70

Cell: 5.3316 5.3316 5.3316 Å, 60.00 60.00 60.00°
Site moments in Bohr magnetons follow the coordinates.
Atoms (fractional coordinates):
Zn 0.5000 0.5000 0.5000  0.04
Cd 0.0000 0.0000 0.0000  0.04
Na 0.7500 0.7500 0.7500  0.01
Eu 0.2500 0.2500 0.2500  6.95


[2]
Here is an optimized crystal structure of RbGaSbS4 from the Alexandria database. Energies are from PBE.

Formation energy without anion corrections in kJ/mol of atoms: -53
Spin magnetization in μB/f.u.: 0.00

Cell: 6.3977 6.8980 9.9148 Å, 90.00 119.50 90.00°
Atoms (fractional coordinates):
S 0.0686 0.5000 0.6985
S 0.9314 0.5000 0.3015
Ga 0.8025 0.2500 0.6637
S 0.9314 0.0000 0.3015
Rb 0.3667 0.2500 0.0704
Ga 0.1975 0.7500 0.3363
Sb 0.7774 0.7500 0.4434
S 0.4803 0.2500 0.4240
S 0.6312 0.2500 0.8164
S 0.5197 0.7500 0.5760
Rb 0.6333 0.7500 0.9296
Sb 0.2226 0.2500 0.5566
S 0.0686 0.0000 0.6985
S 0.3688 0.7500 0.1836


[3]
Here is an optimized crystal structure of Be2Cd from the Alexandria database. Energies are from PBE.

Formation energy in eV per atom: 0.44
Distance to the lowest polymorph of the same formula in eV per atom: 0.2083
Spin magnetization in μB/f.u.: 0.00

Cell: 5.3335 5.3335 5.3335 Å, 150.57 148.48 43.66°
Atoms (fractional coordinates):
Be 0.6988 0.6988 0.0000
Cd 0.0000 0.0000 0.0000
Be 0.3012 0.3012 0.0000


[4]
Here is an optimized crystal structure of TbNi4Ge from the Alexandria database. Energies are from PBE.

Formation energy in eV per atom: -0.33
Distance to the lowest polymorph of the same formula in eV per atom: 0.0178
Spin magnetization in μB/f.u.: 0.00

Cell: 4.9148 4.9148 4.9148 Å, 60.00 60.00 60.00°
Atoms (fractional coordinates):
Ni 0.6242 0.6242 0.6242
Ni 0.6242 0.6242 0.1275
Ni 0.6242 0.1275 0.6242
Ni 0.1275 0.6242 0.6242
Ge 0.2500 0.2500 0.2500
Tb 0.0000 0.0000 0.0000


[5]
Here is an optimized crystal structure of Sc4PbW from the Alexandria database. Energies are from PBE.

Formation energy in eV per atom: 0.50
Spin magnetization in μB/f.u.: 0.00

Cell: 5.6817 5.6817 5.6817 Å, 60.00 60.00 60.00°
Atoms (fractional coordinates):
Sc 0.3776 0.3776 0.8672
Sc 0.3776 0.3776 0.3776
Pb 0.0000 0.0000 0.0000
W 0.7500 0.7500 0.7500
Sc 0.8672 0.3776 0.3776
Sc 0.3776 0.8672 0.3776


[6]
Here is an optimized crystal structure of LiCa2Hg2Pd5 from the Alexandria database. Energies are from PBE.

Formation energy in eV per atom: -0.40
Spin magnetization in μB/f.u.: 0.00

Cell: 3.9799 10.0149 10.0149 Å, 90.00 90.00 90.00°
Atoms (fractional coordinates):
Pd 0.5000 0.6892 0.4419
Pd 0.5000 0.5000 0.0000
Ca 0.0000 0.3310 0.8310
Pd 0.5000 0.9419 0.1892
Pd 0.5000 0.4419 0.3108
Pd 0.5000 0.0000 0.5000
Hg 0.0000 0.3687 0.1313
Li 0.0000 0.0000 0.0000
Hg 0.0000 0.8687 0.3687
Pd 0.5000 0.8108 0.9419
Pd 0.5000 0.1892 0.0581
Ca 0.0000 0.8310 0.6690
Ca 0.0000 0.6690 0.1690
Hg 0.0000 0.6313 0.8687
Hg 0.0000 0.1313 0.6313
Pd 0.5000 0.3108 0.5581
Li 0.0000 0.5000 0.5000
Ca 0.0000 0.1690 0.3310
Pd 0.5000 0.0581 0.8108
Pd 0.5000 0.5581 0.6892


[7]
Here is an optimized crystal structure of Tb3Sm8In2 from the Alexandria database. Energies are from PBE.

Formation energy in eV per atom: 0.04
Spin magnetization in μB/f.u.: 0.00

Cell: 6.5969 9.3538 8.5286 Å, 123.26 97.65 90.00°
Atoms (fractional coordinates):
In 0.3164 0.1941 0.3882
Tb 0.0000 0.1679 0.0000
In 0.6836 0.8059 0.6118
Sm 0.5566 0.5574 0.7537
Sm 0.8780 0.5851 0.1702
Sm 0.4434 0.4426 0.2463
Sm 0.8440 0.2048 0.4096
Tb 0.5000 0.0000 0.0000
Sm 0.4434 0.8037 0.2463
Sm 0.5566 0.1963 0.7537
Tb 0.0000 0.8321 0.0000
Sm 0.1220 0.4149 0.8298
Sm 0.1560 0.7952 0.5904


[8]
Here is an optimized crystal structure of AcCd3Ge from the Alexandria database. Energies are from PBE.

Formation energy in eV per atom: -0.34
Spin magnetization in μB/f.u.: 0.00

Cell: 6.4585 6.8310 6.6248 Å, 119.01 90.00 90.00°
Atoms (fractional coordinates):
Ac 0.2500 0.5062 0.7531
Cd 0.7500 0.7401 0.8700
Ge 0.7500 0.2953 0.6476
Ac 0.7500 0.4938 0.2469
Cd 0.0000 0.0000 0.7338
Cd 0.5000 0.0000 0.7338
Cd 0.0000 0.0000 0.2662
Ge 0.2500 0.7047 0.3524
Cd 0.2500 0.2599 0.1300
Cd 0.5000 0.0000 0.2662


[9]
Here is an optimized crystal structure of Er3Ga7Rh2 from the Alexandria database. Energies are from PBE.

Formation energy in eV per atom: -0.68
Spin magnetization in μB/f.u.: 0.00

Cell: 4.1149 4.1679 13.5550 Å, 98.93 90.00 90.00°
Atoms (fractional coordinates):
Er 0.5000 0.5000 0.0000
Er 0.0000 0.1789 0.3595
Ga 0.5000 0.0812 0.1613
Ga 0.5000 0.7238 0.4476
Ga 0.5000 0.9188 0.8387
Er 0.0000 0.8211 0.6405
Ga 0.0000 0.5799 0.1606
Ga 0.0000 0.0000 0.0000
Ga 0.0000 0.4201 0.8394
Rh 0.5000 0.3673 0.7368
Rh 0.5000 0.6327 0.2632
Ga 0.5000 0.2762 0.5524


[10]
Here is an optimized crystal structure of Ce6PaSn10 from the Alexandria database. Energies are from PBE.

Formation energy in eV per atom: -0.45
Spin magnetization in μB/f.u.: 1.83

Cell: 6.3211 9.3610 9.3610 Å, 120.00 90.00 90.00°
Site moments in Bohr magnetons follow the coordinates.
Atoms (fractional coordinates):
Sn 0.2235 0.2740 0.2740  0.01
Pa 0.5000 0.0000 0.0000  0.03
Sn 0.5000 0.3333 0.6667  0.00
Sn 0.7765 0.2740 0.0000  0.01
Sn 0.2235 0.0000 0.7260  0.01
Sn 0.7765 0.7260 0.7260  0.01
Sn 0.5000 0.6667 0.3333  0.00
Sn 0.0000 0.3333 0.6667  0.02
Ce 0.2636 0.6187 0.6187  0.25
Ce 0.7364 0.0000 0.6187  0.25
Ce 0.2636 0.0000 0.3813  0.25
Ce 0.7364 0.6187 0.0000  0.25
Ce 0.2636 0.3813 0.0000  0.25
Sn 0.0000 0.6667 0.3333  0.02
Sn 0.7765 0.0000 0.2740  0.01
Ce 0.7364 0.3813 0.3813  0.25
Sn 0.2235 0.7260 0.0000  0.01


[11]
Here is an optimized crystal structure of PaMnMo from the Alexandria database. Energies are from PBE.

Formation energy in eV per atom: 0.26
Distance to the lowest polymorph of the same formula in eV per atom: 0.1552
Spin magnetization in μB/f.u.: 1.56

Cell: 2.9466 4.4665 4.4665 Å, 120.00 90.00 90.00°
Site moments in Bohr magnetons follow the coordinates.
Atoms (fractional coordinates):
Mn 0.7169 0.6667 0.3333  1.74
Mo 0.2740 0.3333 0.6667  0.00
Pa 0.0092 0.0000 0.0000  -0.15


[12]
Here is an optimized crystal structure of Tl2MoAs from the Alexandria database. Energies are from PBE.

Formation energy in eV per atom: 0.65
Distance to the lowest polymorph of the same formula in eV per atom: 0.4807
Spin magnetization in μB/f.u.: 0.00

Cell: 5.2873 3.4857 5.9507 Å, 57.29 90.00 90.00°
Atoms (fractional coordinates):
Tl 0.0000 0.7137 0.5052
As 0.5000 0.2500 0.2500
Mo 0.5000 0.7500 0.7500
Tl 0.0000 0.7863 0.9948


[13]
Here is an optimized crystal structure of La12Ir5Pt2 from the Alexandria database. Energies are from PBE.

Formation energy in eV per atom: -0.67
Spin magnetization in μB/f.u.: 0.00

Cell: 7.9302 8.7262 10.1556 Å, 105.91 90.00 117.03°
Atoms (fractional coordinates):
La 0.1149 0.7371 0.4910
La 0.8851 0.2629 0.5090
Ir 0.2746 0.5492 0.0340
Ir 0.7254 0.4508 0.9660
La 0.4699 0.9399 0.1750
La 0.4481 0.3822 0.1501
Pt 0.2145 0.0000 0.0000
Pt 0.7855 0.0000 0.0000
La 0.9341 0.3822 0.1501
La 0.0659 0.6178 0.8499
La 0.9193 0.8386 0.1784
La 0.0807 0.1614 0.8216
Ir 0.0000 0.0000 0.5000
Ir 0.2945 0.5890 0.6214
La 0.6222 0.7371 0.4910
La 0.5301 0.0601 0.8250
La 0.5519 0.6178 0.8499
Ir 0.7055 0.4110 0.3786
La 0.3778 0.2629 0.5090


[14]
Here is an optimized crystal structure of Re4AsCl from the Alexandria database. Energies are from PBE.

Formation energy without anion corrections in kJ/mol of atoms: 123
Spin magnetization in μB/f.u.: 0.00

Cell: 5.2897 5.2897 5.2897 Å, 60.00 60.00 60.00°
Atoms (fractional coordinates):
As 0.7500 0.7500 0.7500
Re 0.8744 0.3752 0.3752
Re 0.3752 0.3752 0.8744
Re 0.3752 0.3752 0.3752
Re 0.3752 0.8744 0.3752
Cl 0.0000 0.0000 0.0000


[15]
Here is an optimized crystal structure of Er4ScSb4 from the Alexandria database. Energies are from PBE.

Formation energy without anion corrections in kJ/mol of atoms: -51
Spin magnetization in μB/f.u.: 2.43

Cell: 7.0850 7.0850 8.2969 Å, 115.28 115.28 90.00°
Site moments in Bohr magnetons follow the coordinates.
Atoms (fractional coordinates):
Sb 0.8933 0.3622 0.2555  -0.02
Sc 0.0000 0.0000 0.0000  0.55
Sb 0.1067 0.1067 0.7445  -0.02
Sb 0.3622 0.8933 0.2555  -0.02
Er 0.7271 0.7271 0.4543  0.19
Er 0.2729 0.2729 0.5457  0.19
Sb 0.6378 0.6378 0.7445  -0.02
Er 0.0000 0.5000 0.0000  0.26
Er 0.5000 0.0000 0.0000  0.26


[16]
Here is an optimized crystal structure of Rb2MnBI6 from the Alexandria database. Energies are from PBE.

Formation energy without anion corrections in kJ/mol of atoms: -38
Spin magnetization in μB/f.u.: 4.00

Cell: 7.9670 7.9670 7.9594 Å, 59.97 59.97 90.00°
Site moments in Bohr magnetons follow the coordinates.
Atoms (fractional coordinates):
I 0.7475 0.7475 0.5049  -0.02
Rb 0.7500 0.2500 0.5000  0.00
Mn 0.0000 0.0000 0.0000  3.96
I 0.7482 0.2518 0.0000  -0.02
Rb 0.2500 0.7500 0.5000  0.00
I 0.2518 0.7482 0.0000  -0.02
B 0.5000 0.5000 0.0000  -0.06
I 0.2518 0.2518 0.0000  -0.02
I 0.2525 0.2525 0.4951  -0.02
I 0.7482 0.7482 0.0000  -0.02


[17]
Here is an optimized crystal structure of Ag3HgAu from the Alexandria database. Energies are from PBE.

Formation energy in eV per atom: 0.01
Distance to the lowest polymorph of the same formula in eV per atom: 0.0000
Spin magnetization in μB/f.u.: 0.00

Cell: 4.1990 5.9776 14.9063 Å, 90.00 90.00 90.00°
Atoms (fractional coordinates):
Ag 0.2500 0.1212 0.7509
Ag 0.2500 0.6278 0.9504
Au 0.7500 0.8790 0.0498
Ag 0.7500 0.8713 0.8516
Hg 0.7500 0.3737 0.8501
Au 0.2500 0.6210 0.5498
Ag 0.2500 0.1278 0.5496
Au 0.7500 0.3790 0.4502
Ag 0.7500 0.3722 0.0496
Ag 0.7500 0.8722 0.4504
Ag 0.2500 0.1287 0.1484
Ag 0.2500 0.6287 0.3516
Hg 0.2500 0.6263 0.1499
Au 0.2500 0.1210 0.9502
Ag 0.7500 0.8788 0.2491
Hg 0.7500 0.8737 0.6499
Ag 0.7500 0.3788 0.2509
Hg 0.2500 0.1263 0.3501
Ag 0.7500 0.3713 0.6484
Ag 0.2500 0.6212 0.7491


[18]
Here is an optimized crystal structure of PmCuH8Rh4 from the Alexandria database. Energies are from PBE.

Spin magnetization in μB/f.u.: 0.00

Cell: 5.7380 5.7380 5.5731 Å, 59.02 59.02 60.00°
Atoms (fractional coordinates):
H 0.8620 0.2190 0.7001
H 0.2225 0.2225 0.3325
Rh 0.0010 0.0010 0.4924
Rh 0.5057 0.0010 0.4924
Rh 0.0010 0.5057 0.4924
H 0.7152 0.7152 0.3126
H 0.2190 0.2190 0.7001
H 0.2190 0.8620 0.7001
Rh 0.6341 0.6341 0.0976
H 0.7657 0.7657 0.7030
H 0.7152 0.2570 0.3126
Pm 0.3874 0.3874 0.8378
H 0.2570 0.7152 0.3126
Cu 0.9954 0.9954 0.0139


[19]
Here is an optimized crystal structure of Rb2HO from the Alexandria database. Energies are from PBE.

Distance to the lowest polymorph of the same formula in eV per atom: 0.0000
Spin magnetization in μB/f.u.: 1.00

Cell: 4.5739 5.6576 7.5824 Å, 109.71 90.00 90.00°
Site moments in Bohr magnetons follow the coordinates.
Atoms (fractional coordinates):
Rb 0.2500 0.7520 0.5553  0.00
O 0.7500 0.6824 0.2926  0.56
H 0.2500 0.2958 0.1978  0.12
H 0.7500 0.7042 0.8022  0.12
Rb 0.7500 0.2480 0.4447  0.00
O 0.2500 0.3176 0.7074  0.56
Rb 0.7500 0.2608 0.9299  0.01
Rb 0.2500 0.7392 0.0701  0.01


[20]
Here is an optimized crystal structure of AcCd2Hg6 from the Alexandria database. Energies are from PBE.

Formation energy in eV per atom: -0.12
Distance to the lowest polymorph of the same formula in eV per atom: 0.0623
Spin magnetization in μB/f.u.: 0.00

Cell: 3.7174 8.7572 8.7572 Å, 61.70 78.21 78.21°
Atoms (fractional coordinates):
Hg 0.6809 0.9905 0.6468
Hg 0.5000 0.3300 0.6700
Cd 0.8647 0.6389 0.6389
Ac 0.0000 0.0000 0.0000
Cd 0.1354 0.3611 0.3611
Hg 0.3191 0.0095 0.3532
Hg 0.6809 0.6468 0.9905
Hg 0.5000 0.6700 0.3300
Hg 0.3191 0.3532 0.0095


[21]
Here is an optimized crystal structure of AgTe2 from the Alexandria database. Energies are from PBE.

Formation energy without anion corrections in kJ/mol of atoms: 31
Spin magnetization in μB/f.u.: 0.00

Cell: 5.5337 5.5337 3.0913 Å, 90.00 90.00 120.00°
Atoms (fractional coordinates):
Te 0.3333 0.6667 0.5006
Ag 0.0000 0.0000 0.0000
Te 0.6667 0.3333 0.4994


[22]
Here is an optimized crystal structure of Ta2Cr2C3 from the Alexandria database. Energies are from PBE.

Formation energy in eV per atom: -0.39
Spin magnetization in μB/f.u.: 0.00

Cell: 3.0367 5.1734 5.4047 Å, 108.34 106.32 90.00°
Atoms (fractional coordinates):
Cr 0.8442 0.6586 0.6885
Cr 0.1558 0.3414 0.3115
C 0.0000 0.0000 0.0000
C 0.7572 0.2546 0.5145
Ta 0.6113 0.8393 0.2226
C 0.2428 0.7454 0.4855
Ta 0.3887 0.1607 0.7774


[23]
Here is an optimized crystal structure of LaLuPt2 from the Alexandria database. Energies are from PBE.

Formation energy in eV per atom: -1.13
Distance to the lowest polymorph of the same formula in eV per atom: 0.0481
Spin magnetization in μB/f.u.: 0.00

Cell: 5.0266 5.0266 5.0266 Å, 60.00 60.00 60.00°
Atoms (fractional coordinates):
Pt 0.2500 0.2500 0.2500
Lu 0.0000 0.0000 0.0000
La 0.5000 0.5000 0.5000
Pt 0.7500 0.7500 0.7500


| no. | E (eV per atom) |
| --- | --- |
| 1 | -3.5584 |
| 2 | -4.0674 |
| 3 | -2.3518 |
| 4 | -5.7251 |
| 5 | -6.4971 |
| 6 | -3.6528 |
| 7 | -4.3514 |
| 8 | -2.6362 |
| 9 | -4.8103 |
| 10 | -5.4592 |
| 11 | -9.5682 |
| 12 | -4.4052 |
| 13 | -6.7525 |
| 14 | -8.1027 |
| 15 | -5.0923 |
| 16 | -3.1045 |
| 17 | -2.4206 |
| 18 | -4.8388 |
| 19 | -2.9161 |
| 20 | -0.9793 |
| 21 | -2.7202 |
| 22 | -10.4814 |
| 23 | -6.5141 |